A relaxed structure of Ir3Os2Ru, computed with PBE-GGA.

The structure in POSCAR format:
```
Ir3Os2Ru
1.0
5.441 0.000 0.000
0.000 3.854 0.000
-0.008 0.000 8.211
Ir Os Ru
6 4 2
Direct
0.124 0.250 0.084
0.373 0.750 0.587
0.375 0.750 0.245
0.625 0.250 0.755
0.627 0.250 0.413
0.876 0.750 0.916
0.120 0.250 0.422
0.378 0.750 0.919
0.622 0.250 0.081
0.880 0.750 0.578
0.125 0.250 0.745
0.875 0.750 0.255
```

crystal system = monoclinic
space group = P2_1/m (11)
ΔH_f (0 K) = 0.01 eV/atom
relative energy among the computed polymorphs = 0.000 eV per atom
density of states at the Fermi level = 5.18 states/eV/f.u.



A relaxed structure of Ta2TlCd, computed with PBE-GGA.

The structure in POSCAR format:
```
Ta2TlCd
1.0
2.929 0.000 0.000
0.000 4.621 0.000
-0.554 0.000 5.822
Ta Tl Cd
2 1 1
Direct
0.002 0.000 0.246
0.998 0.000 0.754
0.500 0.500 0.500
0.500 0.500 0.000
```

crystal system = monoclinic
space group = P2/m (10)
ΔH_f (0 K) = 0.45 eV/atom
density of states at the Fermi level = 1.20 states/eV/f.u.



A relaxed structure of SmMgZnGe, computed with PBE-GGA.

The structure in POSCAR format:
```
SmMgZnGe
1.0
6.979 0.000 0.000
0.000 6.979 0.000
0.000 0.000 6.979
Sm Mg Zn Ge
4 4 4 4
Direct
0.000 0.000 0.000
0.000 0.500 0.500
0.500 0.000 0.500
0.500 0.500 0.000
0.000 0.000 0.500
0.000 0.500 0.000
0.500 0.000 0.000
0.500 0.500 0.500
0.250 0.250 0.250
0.250 0.750 0.750
0.750 0.250 0.750
0.750 0.750 0.250
0.250 0.250 0.750
0.250 0.750 0.250
0.750 0.250 0.250
0.750 0.750 0.750
```

crystal system = cubic
space group = F-43m (216)
ΔH_f (0 K) = -0.34 eV/atom
density of states at the Fermi level = 3.10 states/eV/f.u.



A relaxed structure of Ca2NiSnN, computed with PBE-GGA.

The structure in POSCAR format:
```
Ca2NiSnN
1.0
5.318 0.000 0.000
0.000 5.318 0.000
0.000 0.000 3.561
Ca Ni Sn N
2 1 1 1
Direct
0.000 0.500 0.000
0.500 0.000 0.000
0.000 0.000 0.500
0.500 0.500 0.500
0.000 0.000 0.000
```

crystal system = tetragonal
formation energy from raw total energies = -0.53 eV per atom
space group = P4/mmm (123)
density of states at the Fermi level = 3.44 states/eV/f.u.



A relaxed structure of Nb3CuMo, computed with PBE-GGA.

The structure in POSCAR format:
```
Nb3CuMo
1.0
4.615 0.000 0.000
0.000 4.615 0.000
0.000 0.000 4.615
Nb Cu Mo
3 1 1
Direct
0.000 0.000 0.500
0.000 0.500 0.000
0.500 0.000 0.000
0.000 0.000 0.000
0.500 0.500 0.500
```

crystal system = cubic
space group = Pm-3m (221)
ΔH_f (0 K) = 1.32 eV/atom
relative energy among the computed polymorphs = 0.000 eV per atom
density of states at the Fermi level = 5.66 states/eV/f.u.



A relaxed structure of BeZn3Cu, computed with PBE-GGA.

The structure in POSCAR format:
```
BeZn3Cu
1.0
4.246 0.000 0.000
0.000 4.246 0.000
0.000 0.000 4.246
Be Zn Cu
1 3 1
Direct
0.000 0.000 0.000
0.000 0.000 0.500
0.000 0.500 0.000
0.500 0.000 0.000
0.500 0.500 0.500
```

crystal system = cubic
space group = Pm-3m (221)
ΔH_f (0 K) = 0.42 eV/atom
relative energy among the computed polymorphs = 0.000 eV per atom
density of states at the Fermi level = 1.28 states/eV/f.u.